(1)
KTl2HgCl8 | the Alexandria database | PBE-GGA | optimized geometry; calculated volume = 34.09 Å³ per atom; space group = No. 119; formation energy (no corrections) = -0.804 eV per atom; crystal system = tetragonal; D(E_F) = 3.87 states/eV/f.u.; magnetization = 0.00 μB per formula unit
1.0
8.091 0.395 0.000
-3.234 7.427 0.000
-2.428 -3.911 6.665
Cl Tl K Hg
8 2 1 1
Cartesian
0.363 -2.264 5.163
4.248 -1.887 4.604
4.619 4.590 1.502
6.003 0.941 2.061
-0.363 2.264 5.163
0.238 3.232 1.502
3.843 2.282 4.604
2.088 -0.546 2.061
4.045 0.198 3.333
2.428 3.911 0.000
0.000 0.000 0.000
-1.617 3.713 3.333

---

(2)
NbPd | the Alexandria database | PBE-GGA | optimized geometry; calculated volume = 17.36 Å³ per atom; space group = No. 44; energy of formation from the pure elements = -8.7 kJ per mole of atoms; crystal system = orthorhombic; D(E_F) = 1.99 states/eV/f.u.; magnetization = 0.00 μB per formula unit
1.0
12.687 0.000 0.000
0.000 2.807 0.000
0.000 0.000 5.851
Pd Nb
6 6
Cartesian
10.659 0.000 0.917
2.028 0.000 0.917
8.371 1.403 3.843
6.343 0.000 2.460
0.000 1.403 5.385
4.316 1.403 3.843
10.721 0.000 4.003
0.000 1.403 2.338
6.343 0.000 5.264
4.377 1.403 1.077
8.309 1.403 1.077
1.966 0.000 4.003

---

(3)
ZnCdCo2 | the Alexandria database | PBE-GGA | optimized geometry; calculated volume = 14.04 Å³ per atom; space group = No. 8; energy of formation from the pure elements = 20.9 kJ per mole of atoms; crystal system = monoclinic; D(E_F) = 3.51 states/eV/f.u.; magnetization = 2.47 μB per formula unit
1.0
-0.133 4.806 -0.070
-2.737 3.940 0.314
0.211 1.317 4.395
Co Zn Cd
2 1 1
Cartesian
-2.803 8.578 0.321
-0.707 2.644 1.166
-1.384 5.125 2.163
-1.966 7.494 3.554

---

(4)
Tm3Ge | the Alexandria database | PBE-GGA | optimized geometry; calculated volume = 24.58 Å³ per atom; space group = No. 194; energy of formation from the pure elements = -28.0 kJ per mole of atoms; crystal system = hexagonal; D(E_F) = 5.08 states/eV/f.u.; magnetization = 0.00 μB per formula unit
1.0
3.283 -5.686 0.000
3.283 5.686 0.000
0.000 0.000 5.267
Tm Ge
6 2
Cartesian
1.705 0.984 1.317
3.283 -3.718 3.950
4.861 0.984 1.317
1.705 -0.984 3.950
3.283 3.718 1.317
4.861 -0.984 3.950
3.283 -1.895 1.317
3.283 1.895 3.950

---

(5)
RbNaZrSe3 | the Alexandria database | PBE-GGA | optimized geometry; calculated volume = 33.45 Å³ per atom; space group = No. 63; formation energy (no corrections) = -1.297 eV per atom; crystal system = orthorhombic; magnetization = 0.00 μB per formula unit
1.0
-0.631 -6.040 -4.028
7.527 0.053 -1.257
-2.750 -4.064 6.524
Rb Zr Na Se
2 2 2 6
Cartesian
0.034 -6.551 -0.070
4.112 -3.500 1.309
4.192 -8.095 1.594
-0.046 -1.957 -0.355
0.704 -4.945 4.009
3.442 -5.106 -2.770
1.452 -3.008 -2.309
5.760 0.040 -0.962
0.304 -3.351 1.682
1.767 0.012 -0.295
5.445 -2.980 -2.976
3.842 -6.700 -0.443

---

(6)
Hf2Pb | the Alexandria database | PBE-GGA | optimized geometry; calculated volume = 23.83 Å³ per atom; space group = No. 166; energy of formation from the pure elements = 2.7 kJ per mole of atoms; crystal system = trigonal; D(E_F) = 1.61 states/eV/f.u.; magnetization = 0.00 μB per formula unit
1.0
3.300 0.001 -0.005
1.651 2.857 0.020
0.017 1.852 7.599
Hf Pb
2 1
Cartesian
3.320 1.888 1.152
1.684 2.806 6.377
1.677 0.918 3.754

---

(7)
Y3CdO | the Alexandria database | PBE-GGA | optimized geometry; calculated volume = 22.22 Å³ per atom; space group = No. 221; formation energy (no corrections) = -1.337 eV per atom; offset from the most stable computed form = 0.0 meV per atom; crystal system = cubic; D(E_F) = 2.10 states/eV/f.u.; magnetization = 0.00 μB per formula unit
1.0
4.807 0.000 0.000
0.000 4.807 0.000
0.000 0.000 4.807
Y Cd O
3 1 1
Cartesian
2.404 0.000 0.000
0.000 2.404 0.000
0.000 0.000 2.404
2.404 2.404 2.404
0.000 0.000 0.000